Version P
AcPm3Pr5: relaxed, PBE-GGA.

```
18
Lattice="8.3827 -1.0576 2.0153 1.2776 8.3520 2.0153 5.0128 3.7852 12.6554" Properties=species:S:1:pos:R:3 pbc="T T T"
Pm 4.0941 3.0915 3.4937
Pm 2.5064 1.8926 6.3277
Pm 8.0308 6.0640 6.7459
Pm 10.5790 7.9881 13.1924
Pm 6.6424 5.0156 9.9402
Pm 0.0000 0.0000 0.0000
Pr 10.6028 4.2630 7.8785
Pr 7.8833 5.9526 12.9377
Pr 3.1006 5.9377 2.0153
Pr 5.4395 4.1073 6.6985
Pr 6.7899 5.1270 3.7484
Pr 4.0704 6.8165 8.8076
Pr 7.6704 2.0488 8.8076
Pr 9.2337 6.9723 9.9876
Pr 7.0028 9.0308 7.8785
Pr 6.5597 1.3567 2.0153
Ac 1.2847 0.9701 3.1930
Ac 13.3885 10.1095 13.4931
```

Its spin magnetization is 0.000 μB/f.u. As for the volume: 41.88 Å³ per atom. For the density of states at the Fermi level, the calculation gives 29.20 states/eV/cell.

Version Q
AcPm3Pr5: relaxed, PBE-GGA.

```
18
Lattice="-7.4685 3.1949 -4.2030 -5.6400 -3.2277 -6.4360 -9.5225 -4.6381 5.5428" Properties=species:S:1:pos:R:3 pbc="T T T"
Pm -18.8084 -4.7236 -4.1655
Pm -8.1966 -3.6264 1.3679
Pm -4.7612 -2.3191 2.7714
Pm -14.4344 -1.0445 -6.4641
Pm -3.8226 0.0527 -0.9307
Pm 0.0000 0.0000 0.0000
Pr -9.4550 0.6510 -3.2986
Pr -11.4265 -4.7163 1.8049
Pr -15.5698 -3.6644 -4.6132
Pr -17.0692 -4.4008 -1.1747
Pr -10.3468 -2.5057 -1.1210
Pr -7.0611 -1.0066 -0.4830
Pr -11.2045 0.0454 -6.9011
Pr -12.2841 -2.1653 -3.9752
Pr -5.5618 -0.2702 -3.9215
Pr -13.1760 -5.3219 -1.7976
Ac -14.0207 -2.3550 -0.7660
Ac -8.6103 -2.3159 -4.3302
```

Its spin magnetization is 0.000 μB/f.u. As for the volume: 37.30 Å³ per atom. For the density of states at the Fermi level, the calculation gives 25.08 states/eV/cell.

Energies in meV/atom, measured from the most stable structure: version P 298; version Q 0.

Version P
Ac5PmPr4: relaxed, PBE-GGA.

```
10
Lattice="3.9021 0.0000 0.0000 0.0000 3.9021 0.0000 0.0000 0.0000 26.4239" Properties=species:S:1:pos:R:3 pbc="T T T"
Ac 1.9510 1.9510 13.2119
Ac 1.9510 1.9510 23.8199
Ac 1.9510 1.9510 18.5187
Ac 1.9510 1.9510 7.9052
Ac 1.9510 1.9510 2.6040
Pm 0.0000 0.0000 0.0000
Pr 0.0000 0.0000 10.5608
Pr 0.0000 0.0000 21.1734
Pr 0.0000 0.0000 5.2505
Pr 0.0000 0.0000 15.8631
```

Its spin magnetization is 0.000 μB/f.u. As for the volume: 40.23 Å³ per atom. For the density of states at the Fermi level, the calculation gives 18.55 states/eV/cell.

Version Q
Ac5PmPr4: relaxed, PBE-GGA.

```
10
Lattice="5.3695 0.0000 1.2265 1.8222 10.2569 4.3895 0.7375 4.3799 9.1381" Properties=species:S:1:pos:R:3 pbc="T T T"
Ac 4.7005 2.3332 4.1556
Ac 3.2288 12.3037 10.5985
Ac 4.5710 7.6312 4.7223
Ac 1.2798 7.3184 6.7638
Ac 3.3582 7.0057 10.0318
Pm 0.0000 0.0000 0.0000
Pr 5.9783 9.6582 10.9283
Pr 4.0281 4.6830 7.0992
Pr 1.9510 4.9787 3.8258
Pr 3.9011 9.9539 7.6550
```

Its spin magnetization is 0.000 μB/f.u. As for the volume: 40.06 Å³ per atom. For the density of states at the Fermi level, the calculation gives 16.58 states/eV/cell.

Energies in meV/atom, measured from the most stable structure: version P 5; version Q 0.

Version P
Ac7PmPr4: relaxed, PBE-GGA.

```
12
Lattice="-0.1895 -0.1597 -6.4688 -3.8454 -8.9680 -2.9051 -8.7300 0.3082 -2.9910" Properties=species:S:1:pos:R:3 pbc="T T T"
Pr -10.0029 -2.9546 -6.1123
Pr -6.4426 -6.2253 -6.1358
Pr -6.3223 -2.5942 -6.2290
Pr -2.7620 -5.8649 -6.2526
Ac -2.8733 -2.3722 -6.3355
Ac -0.0947 -0.0799 -3.2344
Ac -9.8915 -6.4473 -6.0293
Ac -4.5338 -4.9130 -2.9850
Ac -8.1329 -7.8365 -9.2857
Ac -4.6320 -0.9830 -3.0792
Ac -8.2311 -3.9065 -9.3798
Pm 0.0000 0.0000 0.0000
```

Its spin magnetization is 0.001 μB/f.u. As for the volume: 42.22 Å³ per atom. For the density of states at the Fermi level, the calculation gives 21.09 states/eV/cell.

Version Q
Ac7PmPr4: relaxed, PBE-GGA.

```
12
Lattice="-3.1810 2.5689 6.5939 -8.9753 -0.5303 5.0024 1.0032 -8.7894 3.9572" Properties=species:S:1:pos:R:3 pbc="T T T"
Ac -6.8862 1.6192 7.4618
Ac -1.5905 1.2845 3.2970
Ac -7.0370 -5.7280 7.9999
Ac -6.1926 -3.2593 5.1035
Ac -4.1161 -1.0228 7.5535
Ac -4.2668 -8.3699 8.0917
Ac -4.9604 -3.4915 10.4499
Pr -8.6279 -4.4256 11.2831
Pr -2.5251 -2.3252 4.2703
Pr -7.8486 -1.9417 8.3963
Pr -3.3044 -4.8090 7.1571
Pm 0.0000 0.0000 0.0000
```

Its spin magnetization is 0.000 μB/f.u. As for the volume: 41.22 Å³ per atom. For the density of states at the Fermi level, the calculation gives 20.64 states/eV/cell.

Energies in meV/atom, measured from the most stable structure: version P 200; version Q 0.

Version P
AcPm2Pr7: relaxed, PBE-GGA.

```
10
Lattice="5.8078 0.0000 0.0000 0.0000 9.3870 -0.4541 0.0000 -4.6402 8.1726" Properties=species:S:1:pos:R:3 pbc="T T T"
Pm 2.9039 -0.4531 5.5975
Pm 2.9039 5.1998 2.1210
Pr 2.9039 5.5409 5.2988
Pr 0.0000 6.0662 1.5881
Pr 0.0000 -1.3195 6.1303
Pr 2.9039 2.5177 0.3830
Pr 2.9039 2.2291 7.3355
Pr 2.9039 -0.7941 2.4197
Pr 2.9039 2.3734 3.8592
Ac 0.0000 0.0000 0.0000
```

Its spin magnetization is 0.000 μB/f.u. As for the volume: 43.33 Å³ per atom. For the density of states at the Fermi level, the calculation gives 15.01 states/eV/cell.

Version Q
AcPm2Pr7: relaxed, PBE-GGA.

```
10
Lattice="-0.2345 4.9063 3.1666 -1.3262 4.7063 -7.3969 -6.4014 -5.8123 3.1499" Properties=species:S:1:pos:R:3 pbc="T T T"
Pr -5.0542 -2.3214 3.2350
Pr -0.7804 4.8063 -2.1152
Pr -2.9078 6.1217 -4.3154
Pr -5.3389 0.7268 -1.5222
Pr -2.5385 2.2426 -3.6625
Pr -2.6231 3.0734 0.4418
Pr -5.4236 1.5577 2.5821
Ac 0.0000 0.0000 0.0000
Pm -3.3780 -0.6874 0.8150
Pm -4.5841 4.4877 -1.8954
```

Its spin magnetization is 0.000 μB/f.u. As for the volume: 37.92 Å³ per atom. For the density of states at the Fermi level, the calculation gives 14.96 states/eV/cell.

Energies in meV/atom, measured from the most stable structure: version P 400; version Q 0.

Version P
AcPm7Pr4: relaxed, PBE-GGA.

```
12
Lattice="6.2651 0.0000 0.0000 3.1325 11.3991 -0.2866 3.1325 0.1207 6.2207" Properties=species:S:1:pos:R:3 pbc="T T T"
Pr 9.3976 7.8236 4.8807
Pr 3.1325 3.6962 1.0534
Pr 6.2651 8.9112 2.8225
Pr 6.2651 2.6086 3.1116
Pm 9.3976 3.9011 4.7709
Pm 3.1325 0.0000 0.0000
Pm 6.2651 5.8080 4.5747
Pm 3.1325 7.6187 1.1632
Pm 6.2651 5.7118 1.3594
Pm 9.3976 10.5476 2.9234
Pm 3.1325 0.9721 3.0107
Ac 0.0000 0.0000 0.0000
```

Its spin magnetization is 0.001 μB/f.u. As for the volume: 37.04 Å³ per atom. For the density of states at the Fermi level, the calculation gives 18.66 states/eV/cell.

Version Q
AcPm7Pr4: relaxed, PBE-GGA.

```
12
Lattice="0.6082 -2.1025 7.1091 3.0125 -7.7881 5.2096 9.1069 1.5108 -0.3392" Properties=species:S:1:pos:R:3 pbc="T T T"
Pm 11.0643 -3.9664 7.6120
Pm 8.5339 -5.5169 5.4096
Pm 7.5089 -3.2215 8.1447
Pm 1.6632 -4.4133 4.3675
Pm 4.1936 -2.8628 6.5698
Pm 5.2187 -5.1583 3.8348
Pm 0.3041 -1.0513 3.5545
Pr 7.1956 -2.1701 4.5581
Pr 8.8804 -6.5852 8.9565
Pr 5.5320 -6.2096 7.4214
Pr 3.8471 -1.7946 3.0230
Ac 0.0000 0.0000 0.0000
```

Its spin magnetization is 0.000 μB/f.u. As for the volume: 35.96 Å³ per atom. For the density of states at the Fermi level, the calculation gives 18.80 states/eV/cell.

Energies in meV/atom, measured from the most stable structure: version P 230; version Q 0.

Version P
AcPm4Pr7: relaxed, PBE-GGA.

```
12
Lattice="-3.7842 -1.2518 -6.3234 -9.0270 -2.8812 -2.8668 -4.4620 8.0474 1.0806" Properties=species:S:1:pos:R:3 pbc="T T T"
Pm -10.0141 -0.0568 -5.0851
Pm -12.7514 2.2177 -6.0591
Pm -4.5219 1.6967 -2.0505
Pm -7.2591 3.9712 -3.0245
Pr -9.9032 6.2928 -1.9072
Pr -6.4686 1.0889 -5.1840
Pr -10.8047 2.8254 -2.9256
Pr -7.3701 -2.3785 -6.2024
Pr -9.1890 3.3229 -6.2419
Pr -1.8921 -0.6259 -3.1617
Pr -8.0843 0.5914 -1.8677
Ac 0.0000 0.0000 0.0000
```

Its spin magnetization is 0.000 μB/f.u. As for the volume: 36.41 Å³ per atom. For the density of states at the Fermi level, the calculation gives 19.15 states/eV/cell.

Version Q
AcPm4Pr7: relaxed, PBE-GGA.

```
12
Lattice="6.2617 0.0000 0.0000 3.1308 8.6152 1.2885 3.1308 1.2263 8.4270" Properties=species:S:1:pos:R:3 pbc="T T T"
Pr 9.3925 8.2407 5.6578
Pr 3.1308 1.6008 4.0578
Pr 3.1308 0.0000 0.0000
Pr 3.1308 5.1753 3.0961
Pr 6.2617 2.7725 2.4263
Pr 6.2616 7.0690 7.2893
Pr 9.3925 4.6662 6.6195
Pm 6.2617 3.2532 5.6430
Pm 3.1308 3.1228 0.5329
Pm 6.2617 6.5884 4.0726
Pm 9.3925 6.7187 9.1827
Ac 0.0000 0.0000 0.0000
```

Its spin magnetization is 0.292 μB/f.u. As for the volume: 37.06 Å³ per atom. For the density of states at the Fermi level, the calculation gives 20.90 states/eV/cell.

Energies in meV/atom, measured from the most stable structure: version P 0; version Q 212.

Version P
Ac7Pm2Pr2: relaxed, PBE-GGA.

```
11
Lattice="-3.7363 5.4915 -6.6441 -0.5888 -4.8600 -5.1591 -6.8243 -0.5207 1.9339" Properties=species:S:1:pos:R:3 pbc="T T T"
Pm -6.6610 0.8114 -3.6989
Pm -4.4883 -0.7006 -6.1704
Ac -7.8042 -2.2401 -5.4903
Ac -3.9399 0.4363 -0.8801
Ac -7.2095 -0.3254 -8.9892
Ac -3.3451 2.3510 -4.3789
Ac -1.6057 -1.1881 -3.5352
Ac 0.0000 0.0000 0.0000
Ac -9.5436 1.2989 -6.3341
Pr -5.1046 -2.4441 -2.9923
Pr -6.0447 2.5550 -6.8770
```

Its spin magnetization is 0.000 μB/f.u. As for the volume: 42.10 Å³ per atom. For the density of states at the Fermi level, the calculation gives 18.29 states/eV/cell.

Version Q
Ac7Pm2Pr2: relaxed, PBE-GGA.

```
11
Lattice="3.8241 -0.3247 -0.9498 -1.1019 11.3508 0.8789 0.7113 3.8297 10.7575" Properties=species:S:1:pos:R:3 pbc="T T T"
Pm 0.7778 11.9198 8.9450
Pm 2.6557 2.9361 1.7416
Ac 3.5558 2.8852 5.6767
Ac 2.6185 6.7754 0.5652
Ac 0.0000 0.0000 0.0000
Ac -0.1223 11.9707 5.0100
Ac 0.8150 8.0805 10.1215
Ac 1.4884 5.7608 4.1212
Ac 1.9451 9.0950 6.5654
Pr 2.1591 5.5885 7.7616
Pr 1.2744 9.2674 2.9251
```

Its spin magnetization is 0.000 μB/f.u. As for the volume: 41.97 Å³ per atom. For the density of states at the Fermi level, the calculation gives 15.31 states/eV/cell.

Energies in meV/atom, measured from the most stable structure: version P 0; version Q 5.

Version P
Ac2PmPr8: relaxed, PBE-GGA.

```
11
Lattice="-0.6151 -2.3854 -5.2737 -1.9992 -9.3092 5.0973 -8.1776 -5.6841 4.1782" Properties=species:S:1:pos:R:3 pbc="T T T"
Pr -5.3448 -11.9525 2.1345
Pr -5.6852 -8.7257 3.8023
Pr -8.2512 -10.2472 1.7022
Pr -5.1067 -8.6530 0.1996
Pr -8.8569 -14.1928 3.5597
Pr -5.4471 -5.4262 1.8673
Pr -2.5407 -7.1315 2.2997
Pr -1.9350 -3.1858 0.4421
Ac -3.3196 -5.9907 -1.3134
Ac -7.4723 -11.3880 5.3153
Pm 0.0000 0.0000 0.0000
```

Its spin magnetization is 0.000 μB/f.u. As for the volume: 38.83 Å³ per atom. For the density of states at the Fermi level, the calculation gives 16.97 states/eV/cell.

Version Q
Ac2PmPr8: relaxed, PBE-GGA.

```
11
Lattice="7.8162 2.2530 3.8669 3.6005 8.3519 5.4110 3.0780 2.7045 9.7575" Properties=species:S:1:pos:R:3 pbc="T T T"
Pr 7.8771 4.7989 7.1821
Pr 5.5704 7.9604 8.3448
Pr 5.3331 5.3952 10.3190
Pr 6.6176 8.5105 11.8533
Pr 4.5569 4.7323 6.6965
Pr 9.1616 7.9142 8.7164
Pr 8.9243 5.3490 10.6906
Pr 9.9377 8.5771 12.3389
Pm 0.0000 0.0000 0.0000
Ac 10.5966 10.6362 15.0935
Ac 3.8981 2.6732 3.9419
```

Its spin magnetization is 0.000 μB/f.u. As for the volume: 38.11 Å³ per atom. For the density of states at the Fermi level, the calculation gives 15.97 states/eV/cell.

Energies in meV/atom, measured from the most stable structure: version P 24; version Q 0.

Version P
Ac2Pm2Pr7: relaxed, PBE-GGA.

```
11
Lattice="8.8131 -0.8058 -1.1628 -1.7567 6.9145 3.6573 -1.7567 0.9962 7.7584" Properties=species:S:1:pos:R:3 pbc="T T T"
Pr 5.1895 3.3286 1.5942
Pr 5.1895 0.3238 3.6764
Pr 0.1102 3.7763 8.6586
Pr 5.8327 3.8281 5.5242
Pr 0.0000 0.0000 0.0000
Pr 0.1102 6.7811 6.5764
Pr -0.5329 3.2768 4.7287
Ac 2.6499 5.0481 4.0900
Ac 2.6499 2.0567 6.1629
Pm -1.9502 6.4271 9.2748
Pm 7.2500 0.6778 0.9781
```

Its spin magnetization is 0.000 μB/f.u. As for the volume: 38.43 Å³ per atom. For the density of states at the Fermi level, the calculation gives 17.83 states/eV/cell.

Version Q
Ac2Pm2Pr7: relaxed, PBE-GGA.

```
11
Lattice="9.0607 -1.2835 0.0597 -2.0926 5.6426 1.8607 -1.0002 1.2835 9.0055" Properties=species:S:1:pos:R:3 pbc="T T T"
Pr 2.7125 5.0644 10.0757
Pr 0.0000 0.0000 0.0000
Pr -1.6290 5.0644 5.1931
Pr 7.5968 0.5782 5.7328
Pr 3.2553 0.5782 0.8501
Pr 1.8930 3.8331 6.4329
Pr 4.0748 1.8096 4.4930
Pm 5.1679 2.8213 7.9191
Pm 0.7999 2.8213 3.0067
Ac -0.5233 5.5157 8.5814
Ac 6.4911 0.1269 2.3445
```

Its spin magnetization is 0.000 μB/f.u. As for the volume: 37.92 Å³ per atom. For the density of states at the Fermi level, the calculation gives 16.84 states/eV/cell.

Energies in meV/atom, measured from the most stable structure: version P 100; version Q 0.

Version P
Ac3Pm2Pr3: relaxed, PBE-GGA.

```
8
Lattice="-4.8596 3.9758 0.5132 -0.7409 -1.6835 6.0269 4.8683 5.6690 2.1820" Properties=species:S:1:pos:R:3 pbc="T T T"
Pm 1.1783 1.3720 0.5281
Pm 3.6900 4.2969 1.6539
Ac 0.0043 4.8224 1.3476
Ac 2.0637 1.9927 4.1044
Ac -0.3704 -0.8417 3.0134
Pr -1.6275 2.5118 3.7957
Pr -2.4298 1.9879 0.2566
Pr 0.8952 5.4494 4.9263
```

Its spin magnetization is 0.000 μB/f.u. As for the volume: 38.63 Å³ per atom. For the density of states at the Fermi level, the calculation gives 15.39 states/eV/cell.

Version Q
Ac3Pm2Pr3: relaxed, PBE-GGA.

```
8
Lattice="5.3345 0.0000 0.0000 0.0000 5.4099 0.0000 -2.6673 -2.7050 10.7626" Properties=species:S:1:pos:R:3 pbc="T T T"
Pr 0.0000 2.7050 0.0000
Pr 0.0000 0.0000 2.7865
Pr 2.6673 2.7050 7.9760
Pm 2.6673 0.0000 5.3631
Pm 0.0000 2.7050 5.3995
Ac 2.6673 0.0000 0.0000
Ac 2.6673 2.7050 2.7485
Ac 0.0000 0.0000 8.0141
```

Its spin magnetization is 0.000 μB/f.u. As for the volume: 38.82 Å³ per atom. For the density of states at the Fermi level, the calculation gives 14.08 states/eV/cell.

Energies in meV/atom, measured from the most stable structure: version P 75; version Q 0.